VASP calculation (PBE-GGA) on a relaxed structure of LaPr2Sn3PdPt2.

* calculated total energy: -5.881 eV per atom

a = 4.1668 Å, b = 7.7138 Å, c = 7.7138 Å
α = 120.00°, β = 90.00°, γ = 90.00°
Sites, in units of the cell vectors:
1 La 0.0000 0.4145 0.4145
2 Pd 0.0000 0.9996 0.9996
3 Pr 0.0000 0.5882 0.0006
4 Pr 0.0000 0.0006 0.5882
5 Pt 0.5000 0.6647 0.3330
6 Pt 0.5000 0.3330 0.6647
7 Sn 0.5000 0.9979 0.2502
8 Sn 0.5000 0.7513 0.7513
9 Sn 0.5000 0.2502 0.9979